Record 1
U | PBE-GGA | optimized geometry

Structure (POSCAR):
```
U
1.0
-2.4870 2.4870 1.6659
2.4870 -2.4870 1.6659
2.4870 2.4870 -1.6659
U
2
Cartesian
2.4870 1.2435 0.4165
0.0000 1.2435 1.2494
```

Values from the calculation:
volume = 20.61 Å³ per atom
density = 19.18 g cm⁻³
formation energy from the elements = 366.4 meV per atom
crystal system = tetragonal

=====

Record 2
U | PBE-GGA | optimized geometry

Structure (POSCAR):
```
U
1.0
7.4650 0.0000 0.0000
0.0000 7.4650 0.0000
0.0000 0.0000 7.4650
U
20
Cartesian
0.3659 0.9331 5.9646
0.4608 7.0042 3.2717
0.9331 5.9646 0.3659
1.4055 1.4055 1.4055
1.5004 4.0984 2.7994
2.2321 3.3666 6.5319
2.3270 6.0595 5.1380
2.7994 1.5004 4.0984
3.2717 0.4608 7.0042
3.3666 6.5319 2.2321
4.0984 2.7994 1.5004
4.1933 4.1933 4.1933
4.6656 5.2329 7.0991
5.1380 2.3270 6.0595
5.2329 7.0991 4.6656
5.9646 0.3659 0.9331
6.0595 5.1380 2.3270
6.5319 2.2321 3.3666
7.0042 3.2717 0.4608
7.0991 4.6656 5.2329
```

Values from the calculation:
volume = 20.80 Å³ per atom
density = 19.00 g cm⁻³
formation energy from the elements = 197.7 meV per atom
crystal system = cubic

=====

Record 3
YUW | PBE-GGA | optimized geometry

Structure (POSCAR):
```
YUW
1.0
0.0000 3.3020 3.3020
3.3020 0.0000 3.3020
3.3020 3.3020 0.0000
Y U W
1 1 1
Cartesian
0.0000 0.0000 0.0000
4.9530 4.9530 4.9530
3.3020 3.3020 3.3020
```

Values from the calculation:
volume = 24.00 Å³ per atom
density = 11.78 g cm⁻³
formation energy from the elements = 1485.7 meV per atom
crystal system = cubic

=====

Record 4
Y2U | PBE-GGA | optimized geometry

Structure (POSCAR):
```
Y2U
1.0
0.0000 6.1345 6.1345
6.1345 0.0000 6.1345
6.1345 6.1345 0.0000
Y U
4 2
Cartesian
0.0000 0.0000 0.0000
3.0672 3.0672 0.0000
3.0672 0.0000 3.0672
0.0000 3.0672 3.0672
1.5336 1.5336 1.5336
10.7354 10.7354 10.7354
```

Values from the calculation:
volume = 76.95 Å³ per atom
density = 2.99 g cm⁻³
formation energy from the elements = 2785.2 meV per atom
crystal system = cubic

=====

Record 5
YZrU | PBE-GGA | optimized geometry

Structure (POSCAR):
```
YZrU
1.0
0.0000 3.5540 3.5540
3.5540 0.0000 3.5540
3.5540 3.5540 0.0000
Y Zr U
1 1 1
Cartesian
0.0000 0.0000 0.0000
3.5540 3.5540 3.5540
1.7770 1.7770 1.7770
```

Values from the calculation:
volume = 29.93 Å³ per atom
density = 7.73 g cm⁻³
formation energy from the elements = 1295.6 meV per atom
crystal system = cubic

=====

Record 6
U2Zn17 | PBE-GGA | optimized geometry

Structure (POSCAR):
```
U2Zn17
1.0
8.9380 0.0000 0.0000
-4.4690 7.7405 0.0000
0.0000 0.0000 8.7524
U Zn
4 34
Cartesian
0.0000 0.0000 2.1881
0.0000 0.0000 6.5643
0.0000 5.1604 2.1881
4.4690 2.5802 6.5643
-2.2345 3.8703 0.0000
-2.2345 3.8703 4.3762
-1.3010 2.8410 6.5643
-2.6591 5.1933 6.5643
0.0000 2.5006 0.2048
0.0000 2.5006 4.1714
-2.3034 6.4902 0.2048
-2.3034 6.4902 4.1714
2.1656 1.2503 4.5809
2.1656 1.2503 8.5476
1.3010 2.8410 6.5643
-1.3581 7.4467 6.5643
0.0000 5.1604 5.2508
0.0000 5.1604 7.8777
3.1109 0.2938 2.1881
1.8099 2.5472 2.1881
4.4690 0.0000 0.0000
4.4690 0.0000 4.3762
2.2345 3.8703 0.0000
2.2345 3.8703 4.3762
2.6591 5.1933 6.5643
1.3581 7.4467 6.5643
4.4690 2.5802 0.8746
4.4690 2.5802 3.5015
5.8271 0.2938 2.1881
3.1680 4.8995 2.1881
2.3034 6.4902 0.2048
2.3034 6.4902 4.1714
6.7724 1.2503 4.5809
6.7724 1.2503 8.5476
4.4690 5.2399 4.5809
4.4690 5.2399 8.5476
7.1281 2.5472 2.1881
5.7700 4.8995 2.1881
```

Values from the calculation:
volume = 15.94 Å³ per atom
density = 8.71 g cm⁻³
formation energy from the elements = -53.1 meV per atom
crystal system = hexagonal

=====

Record 7
UZn | PBE-GGA | optimized geometry

Structure (POSCAR):
```
UZn
1.0
5.4841 0.0000 0.0000
0.0000 4.6942 0.0000
-0.0206 0.0000 8.7614
U Zn
6 6
Cartesian
0.0000 0.0000 0.0000
0.1293 0.0000 6.1624
1.2907 2.3471 0.0990
2.7342 0.0000 1.7761
2.8838 0.0000 4.3780
4.0233 2.3471 1.6777
0.0476 0.0000 3.0671
1.3730 2.3471 3.2239
1.9398 2.3471 5.9232
2.7773 0.0000 7.4726
4.1024 2.3471 7.3113
4.6924 2.3471 4.6121
```

Values from the calculation:
volume = 18.80 Å³ per atom
density = 13.40 g cm⁻³
formation energy from the elements = 125.6 meV per atom
crystal system = monoclinic

=====

Record 8
UZn | PBE-GGA | optimized geometry

Structure (POSCAR):
```
UZn
1.0
2.8549 0.0000 0.0000
-1.4275 2.4724 0.0000
0.0000 0.0000 5.3414
U Zn
1 1
Cartesian
0.0000 0.0000 0.0000
1.4275 0.8241 2.6707
```

Values from the calculation:
volume = 18.85 Å³ per atom
density = 13.36 g cm⁻³
formation energy from the elements = 115.6 meV per atom
crystal system = hexagonal

=====

Record 9
UZn2 | PBE-GGA | optimized geometry

Structure (POSCAR):
```
UZn2
1.0
4.0943 0.0000 0.0000
0.0000 9.8500 0.0000
0.0000 0.0000 5.4348
U Zn
4 8
Cartesian
1.0236 0.7652 0.1609
1.0236 4.1598 0.1609
3.0707 5.6902 5.2739
3.0707 9.0848 5.2739
1.0236 2.4625 2.7820
1.0236 5.6911 2.9757
1.0236 7.3875 1.0173
1.0236 9.0839 2.9757
3.0707 0.7661 2.4591
3.0707 2.4625 4.4175
3.0707 4.1589 2.4591
3.0707 7.3875 2.6529
```

Values from the calculation:
volume = 18.26 Å³ per atom
density = 11.18 g cm⁻³
formation energy from the elements = 135.1 meV per atom
crystal system = orthorhombic

=====

Record 10
UZn | PBE-GGA | optimized geometry

Structure (POSCAR):
```
UZn
1.0
5.5325 0.0000 0.0000
0.0000 4.5721 0.0000
-2.7620 0.0000 7.2981
U Zn
5 5
Cartesian
0.0000 0.0000 0.0000
-1.5379 2.2860 4.4674
-0.0934 0.0000 2.6872
1.2255 2.2860 2.8334
2.6775 0.0000 4.6141
1.9499 2.2860 0.0014
-0.0625 0.0000 5.8508
2.6994 0.0000 1.4485
1.3280 2.2860 5.9228
4.0899 2.2860 1.3779
```

Values from the calculation:
volume = 18.46 Å³ per atom
density = 13.65 g cm⁻³
formation energy from the elements = 98.4 meV per atom
crystal system = monoclinic

=====

Record 11
UZn | PBE-GGA | optimized geometry

Structure (POSCAR):
```
UZn
1.0
5.3568 0.0000 0.0000
0.0000 4.7992 0.0000
-2.6755 0.0000 7.3510
U Zn
5 5
Cartesian
0.0000 0.0000 0.0000
-1.1515 2.3996 4.7924
-1.1415 2.3996 7.3354
1.5932 2.3996 6.0692
2.6866 0.0000 4.7735
0.0000 0.0000 3.1202
-0.0114 0.0000 6.0625
1.4977 2.3996 3.0301
2.6767 0.0000 1.6588
4.1780 2.3996 1.7515
```

Values from the calculation:
volume = 18.90 Å³ per atom
density = 13.33 g cm⁻³
formation energy from the elements = 235.8 meV per atom
crystal system = monoclinic

=====

Record 12
UZn | PBE-GGA | optimized geometry

Structure (POSCAR):
```
UZn
1.0
5.9722 0.0000 0.0000
0.0000 4.2576 0.0000
0.0000 0.0000 6.0932
U Zn
4 4
Cartesian
0.5236 1.0644 0.5591
2.4625 3.1932 3.6057
3.5097 1.0644 2.4875
5.4486 3.1932 5.5341
0.4560 1.0644 3.6090
2.5301 3.1932 0.5624
3.4421 1.0644 5.5307
5.5162 3.1932 2.4841
```

Values from the calculation:
volume = 19.37 Å³ per atom
density = 13.01 g cm⁻³
formation energy from the elements = 154.8 meV per atom
crystal system = orthorhombic

=====

Q: Among the records above, which one has the highest formation energy from the elements?
A: Y2U

=====

Q: Which of these has the lowest density?
A: Y2U